Here is Co2TeW after structural relaxation from the Alexandria database. Energies are from PBE-GGA.

DOS(E_F)   3.95 states/eV per cell
V   14.81 Å³ per atom
Uncorrected formation energy   0.350 eV per atom
Space group   P4/mmm, No. 123
Total DFT energy (no corrections)   -7.23 eV/atom

a = 3.2978 Å, b = 3.2978 Å, c = 5.4478 Å
α = 90.00°, β = 90.00°, γ = 90.00°
With the nearest neighbours (Å) after each atom.
Fractional positions:
Te 0.5000 0.5000 0.2500  2 W 2.72, 8 Co 2.78
W 0.5000 0.5000 0.7500  8 Co 2.63, 2 Te 2.72
Co 0.0000 0.0000 0.5263  1 Co 2.44, 4 W 2.63
Co 0.0000 0.0000 0.9737  1 Co 2.44, 4 W 2.63

Here is NaSnB after structural relaxation from the Alexandria database. Energies are from PBE-GGA.

DOS(E_F)   4.07 states/eV per cell
V   28.93 Å³ per atom
ΔH_f (0 K)   0.46 eV/atom
Space group   I4/mmm, No. 139
Total DFT energy (no corrections)   -3.54 eV/atom

a = 10.5322 Å, b = 10.5322 Å, c = 8.0782 Å
α = 49.32°, β = 49.32°, γ = 90.00°
With the nearest neighbours (Å) after each atom.
Fractional positions:
Na 0.5000 0.2208 0.0000  4 Sn 3.13-3.28
B 0.9188 0.9188 0.0000  2 B 1.71
Sn 0.0000 0.2799 0.0000  2 B 2.26
Sn 0.0000 0.7201 0.0000  2 B 2.26
B 0.0812 0.0812 0.0000  2 B 1.71
B 0.9188 0.0812 0.0000  2 B 1.71
Sn 0.2799 0.0000 0.0000  2 B 2.26
Na 0.5000 0.7792 0.0000  4 Sn 3.13-3.28
Sn 0.7201 0.0000 0.0000  2 B 2.26
Na 0.2208 0.5000 0.0000  4 Sn 3.13-3.28
Na 0.7792 0.5000 0.0000  4 Sn 3.13-3.28
B 0.0812 0.9188 0.0000  2 B 1.71

Here is BaCr3 after structural relaxation from the Alexandria database. Energies are from PBE-GGA.

DOS(E_F)   3.47 states/eV per cell
V   24.30 Å³ per atom
ΔH_f (0 K)   1.03 eV/atom
Space group   Immm, No. 71
Total DFT energy (no corrections)   -6.67 eV/atom

a = 5.4406 Å, b = 5.4406 Å, c = 5.4406 Å
α = 136.21°, β = 115.67°, γ = 81.08°
With the nearest neighbours (Å) after each atom.
Fractional positions:
Cr 0.7708 0.1874 0.5835  2 Cr 2.55
Ba 0.0833 0.0000 0.0833  12 Cr 3.28-3.54
Cr 0.5830 0.5000 0.0830  4 Cr 2.55
Cr 0.3961 0.8126 0.5835  2 Cr 2.55

Here is Fe2Pb after structural relaxation from the Alexandria database. Energies are from PBE-GGA.

DOS(E_F)   4.48 states/eV per cell
V   17.26 Å³ per atom
ΔH_f (0 K)   0.40 eV/atom
Space group   C2/m, No. 12
Total DFT energy (no corrections)   -6.47 eV/atom

a = 5.7729 Å, b = 5.7729 Å, c = 6.6721 Å
α = 66.64°, β = 66.64°, γ = 30.74°
With the nearest neighbours (Å) after each atom.
Fractional positions:
Fe 0.4626 0.4626 0.7326  4 Fe 2.45-2.47
Fe 0.8773 0.8773 0.5345  5 Fe 2.45-2.58
Fe 0.5374 0.5374 0.2674  4 Fe 2.45-2.47
Pb 0.8353 0.8353 0.1475  8 Fe 2.81-3.09, 2 Pb 3.06
Pb 0.1647 0.1647 0.8525  8 Fe 2.81-3.09, 2 Pb 3.06
Fe 0.1227 0.1227 0.4655  5 Fe 2.45-2.58